No. 1
VASP calculation (PBE) on crystalline Ce2Zn5Au at its relaxed geometry.

Values from the calculation:
Formation energy (meV/atom): -369
Spin magnetization (μB/cell): 3.2
Raw total energy (eV per cell): -97.88
D(E_F) (states/eV/atom): 1.50

abc: 4.328 16.452 9.019
angles: 90.00 90.00 90.00
Space group Cmcm (No. 63)
Symmetry-distinct sites (fractional):
1 Ce 0.000 0.000 0.000 (multiplicity 4)
2 Ce 0.000 0.201 0.250 (multiplicity 4)
3 Zn 0.000 0.187 0.609 (multiplicity 8)
4 Zn 0.000 0.345 0.520 (multiplicity 8)
5 Zn 0.000 0.396 0.250 (multiplicity 4)
6 Au 0.000 0.445 0.750 (multiplicity 4)

---

No. 2
VASP calculation (PBE) on crystalline SrInBi at its relaxed geometry.

Values from the calculation:
Formation energy (meV/atom): -378
Spin magnetization (μB/cell): 0.0
Raw total energy (eV per cell): -18.87
D(E_F) (states/eV/atom): 0.46
Polymorph energy (0 for the lowest one) (eV per formula unit): 0.52

abc: 4.657 4.657 9.731
angles: 90.00 90.00 90.00
Space group I4mm (No. 107)
Symmetry-distinct sites (fractional):
1 Sr 0.000 0.000 0.000 (multiplicity 2)
2 In 0.000 0.000 0.668 (multiplicity 2)
3 Bi 0.000 0.000 0.348 (multiplicity 2)

---

No. 3
VASP calculation (PBE) on crystalline HoTmBe4 at its relaxed geometry.

Values from the calculation:
Formation energy (meV/atom): 67
Spin magnetization (μB/cell): 0.0
Raw total energy (eV per cell): -94.22
D(E_F) (states/eV/atom): 0.56

abc: 7.064 7.064 7.064
angles: 90.00 90.00 90.00
Space group F-43m (No. 216)
Symmetry-distinct sites (fractional):
1 Ho 0.000 0.000 0.000 (multiplicity 4)
2 Tm 0.250 0.250 0.750 (multiplicity 4)
3 Be 0.125 0.125 0.375 (multiplicity 16)

---

No. 4
VASP calculation (PBE) on crystalline LiPdSeN2 at its relaxed geometry.

Values from the calculation:
Spin magnetization (μB/cell): 1.6
Energy relative to the elements, uncorrected (kJ/mol of atoms): 154
Raw total energy (eV per cell): -19.25
D(E_F) (states/eV/atom): 0.72
Polymorph energy (0 for the lowest one) (eV per formula unit): 2.98

abc: 3.693 3.693 4.870
angles: 90.00 90.00 90.00
Space group P4/mmm (No. 123)
Symmetry-distinct sites (fractional):
1 Li 0.000 0.000 0.000 (multiplicity 1)
2 Pd 0.500 0.500 0.500 (multiplicity 1)
3 Se 0.000 0.000 0.500 (multiplicity 1)
4 N 0.000 0.500 0.000 (multiplicity 2)

---

No. 5
VASP calculation (PBE) on crystalline CrInRe2 at its relaxed geometry.

Values from the calculation:
Formation energy (meV/atom): 416
Spin magnetization (μB/cell): 0.0
Raw total energy (eV per cell): -106.78
D(E_F) (states/eV/atom): 0.90

abc: 2.8267 2.8267 27.2094
angles: 90.00 90.00 120.00
Space group R3m (No. 160, hexagonal axes)
Symmetry-distinct sites (fractional):
1 Cr 0.0000 0.0000 0.0000 (multiplicity 3)
2 In 0.0000 0.0000 0.2482 (multiplicity 3)
3 Re 0.0000 0.0000 0.4894 (multiplicity 3)
4 Re 0.0000 0.0000 0.7437 (multiplicity 3)

---

No. 6
VASP calculation (PBE) on crystalline SbP2SO at its relaxed geometry.

Values from the calculation:
Spin magnetization (μB/cell): 1.3
Energy relative to the elements, uncorrected (kJ/mol of atoms): 159
Raw total energy (eV per cell): -15.79
D(E_F) (states/eV/atom): 1.72
Polymorph energy (0 for the lowest one) (eV per formula unit): 6.38

abc: 5.145 5.145 4.860
angles: 90.00 90.00 90.00
Space group P4/mmm (No. 123)
Symmetry-distinct sites (fractional):
1 Sb 0.000 0.000 0.000 (multiplicity 1)
2 P 0.000 0.500 0.000 (multiplicity 2)
3 S 0.000 0.000 0.500 (multiplicity 1)
4 O 0.500 0.500 0.500 (multiplicity 1)

---

No. 7
VASP calculation (PBE) on crystalline Ba2CuF at its relaxed geometry.

Values from the calculation:
Spin magnetization (μB/cell): 0.0
Energy relative to the elements, uncorrected (kJ/mol of atoms): -120
Raw total energy (eV per cell): -59.15
D(E_F) (states/eV/atom): 0.39
Polymorph energy (0 for the lowest one) (eV per formula unit): 0.04

abc: 7.555 7.555 9.459
angles: 90.00 90.00 90.00
Space group I-42d (No. 122)
Symmetry-distinct sites (fractional):
1 Ba 0.200 0.250 0.125 (multiplicity 8)
2 Cu 0.000 0.000 0.500 (multiplicity 4)
3 F 0.000 0.000 0.000 (multiplicity 4)

---

No. 8
VASP calculation (PBE) on crystalline CePmN2 at its relaxed geometry.

Values from the calculation:
Spin magnetization (μB/cell): 0.5
Energy relative to the elements, uncorrected (kJ/mol of atoms): -111
Raw total energy (eV per cell): -31.94
D(E_F) (states/eV/atom): 0.83
Polymorph energy (0 for the lowest one) (eV per formula unit): 1.36

abc: 3.5349 3.5349 6.1320
angles: 90.00 90.00 120.00
Space group P-3m1 (No. 164)
Symmetry-distinct sites (fractional):
1 Ce 0.0000 0.0000 0.0000 (multiplicity 1)
2 Pm 0.0000 0.0000 0.5000 (multiplicity 1)
3 N 0.3333 0.6667 0.7611 (multiplicity 2)

---

No. 9
VASP calculation (PBE) on crystalline NdMnNbGe2 at its relaxed geometry.

Values from the calculation:
Formation energy (meV/atom): -480
Spin magnetization (μB/cell): 4.3
Raw total energy (eV per cell): -71.28
D(E_F) (states/eV/atom): 0.78

abc: 4.064 4.064 11.807
angles: 90.00 90.00 90.00
Space group I-4m2 (No. 119)
Symmetry-distinct sites (fractional):
1 Nd 0.000 0.000 0.000 (multiplicity 2)
2 Mn 0.000 0.500 0.250 (multiplicity 2)
3 Nb 0.000 0.500 0.750 (multiplicity 2)
4 Ge 0.000 0.000 0.389 (multiplicity 4)

---

No. 10
VASP calculation (PBE) on crystalline TiN3Cl at its relaxed geometry.

Values from the calculation:
Spin magnetization (μB/cell): 0.0
Energy relative to the elements, uncorrected (kJ/mol of atoms): 182
Raw total energy (eV per cell): -25.30
D(E_F) (states/eV/atom): 0.21

abc: 3.636 3.636 3.636
angles: 90.00 90.00 90.00
Space group Pm-3m (No. 221)
Symmetry-distinct sites (fractional):
1 Ti 0.000 0.000 0.000 (multiplicity 1)
2 N 0.000 0.500 0.500 (multiplicity 3)
3 Cl 0.500 0.500 0.500 (multiplicity 1)

---

No. 11
VASP calculation (PBE) on crystalline DySb5 at its relaxed geometry.

Values from the calculation:
Spin magnetization (μB/cell): 0.0
Energy relative to the elements, uncorrected (kJ/mol of atoms): -20
Raw total energy (eV per cell): -52.96
D(E_F) (states/eV/atom): 0.63

abc: 4.530 16.640 4.438
angles: 90.00 90.00 90.00
Space group Cmmm (No. 65)
Symmetry-distinct sites (fractional):
1 Dy 0.000 0.000 0.000 (multiplicity 2)
2 Sb 0.000 0.152 0.500 (multiplicity 4)
3 Sb 0.000 0.343 0.000 (multiplicity 4)
4 Sb 0.000 0.500 0.500 (multiplicity 2)

---

No. 12
VASP calculation (PBE) on crystalline HoEr2Hg at its relaxed geometry.

Values from the calculation:
Formation energy (meV/atom): -154
Spin magnetization (μB/cell): 0.0
Raw total energy (eV per cell): -58.49
D(E_F) (states/eV/atom): 1.22
Polymorph energy (0 for the lowest one) (eV per formula unit): 0.29

abc: 4.724 11.811 8.351
angles: 90.00 90.00 90.00
Space group Cmcm (No. 63)
Symmetry-distinct sites (fractional):
1 Ho 0.000 0.054 0.250 (multiplicity 4)
2 Er 0.000 0.360 0.046 (multiplicity 8)
3 Hg 0.000 0.225 0.750 (multiplicity 4)

---

No. 13
VASP calculation (PBE) on crystalline Tl2CdPt at its relaxed geometry.

Values from the calculation:
Formation energy (meV/atom): 71
Spin magnetization (μB/cell): 0.0
Raw total energy (eV per cell): -11.40
D(E_F) (states/eV/atom): 0.37
Polymorph energy (0 for the lowest one) (eV per formula unit): 0.59

abc: 3.338 3.517 8.192
angles: 90.00 90.00 90.00
Space group Pmmm (No. 47)
Symmetry-distinct sites (fractional):
1 Tl 0.000 0.000 0.211 (multiplicity 2)
2 Cd 0.500 0.500 0.500 (multiplicity 1)
3 Pt 0.500 0.500 0.000 (multiplicity 1)

---

No. 14
VASP calculation (PBE) on crystalline La3In4Cu2 at its relaxed geometry.

Values from the calculation:
Formation energy (meV/atom): -422
Spin magnetization (μB/cell): 0.0
Raw total energy (eV per cell): -75.46
D(E_F) (states/eV/atom): 0.62

abc: 11.504 4.805 9.253
angles: 90.00 112.86 90.00
Space group C2/m (No. 12)
Symmetry-distinct sites (fractional):
1 La 0.000 0.000 0.000 (multiplicity 2)
2 La 0.176 0.500 0.645 (multiplicity 4)
3 In 0.029 0.000 0.358 (multiplicity 4)
4 In 0.235 0.500 0.084 (multiplicity 4)
5 Cu 0.096 0.500 0.269 (multiplicity 4)

---

No. 15
VASP calculation (PBE) on crystalline AcMgCo at its relaxed geometry.

Values from the calculation:
Formation energy (meV/atom): -26
Spin magnetization (μB/cell): 2.9
Raw total energy (eV per cell): -51.55
D(E_F) (states/eV/atom): 0.83
Polymorph energy (0 for the lowest one) (eV per formula unit): 0.00

abc: 4.252 18.071 4.056
angles: 90.00 90.00 90.00
Space group Cmcm (No. 63)
Symmetry-distinct sites (fractional):
1 Ac 0.000 0.093 0.250 (multiplicity 4)
2 Mg 0.000 0.294 0.250 (multiplicity 4)
3 Co 0.000 0.469 0.250 (multiplicity 4)

---

No. 16
VASP calculation (PBE) on crystalline NaSmAu2 at its relaxed geometry.

Values from the calculation:
Formation energy (meV/atom): -452
Spin magnetization (μB/cell): 0.0
Raw total energy (eV per cell): -43.20
D(E_F) (states/eV/atom): 0.79
Polymorph energy (0 for the lowest one) (eV per formula unit): 0.56

abc: 4.1411 4.1411 22.0382
angles: 90.00 90.00 120.00
Space group R-3m (No. 166, hexagonal axes)
Symmetry-distinct sites (fractional):
1 Na 0.0000 0.0000 0.0000 (multiplicity 3)
2 Sm 0.0000 0.0000 0.5000 (multiplicity 3)
3 Au 0.0000 0.0000 0.2469 (multiplicity 6)

---

No. 17
VASP calculation (PBE) on crystalline ZrHgBr3 at its relaxed geometry.

Values from the calculation:
Spin magnetization (μB/cell): 2.6
Energy relative to the elements, uncorrected (kJ/mol of atoms): 30
Raw total energy (eV per cell): -12.31
D(E_F) (states/eV/atom): 0.99
Polymorph energy (0 for the lowest one) (eV per formula unit): 6.62

abc: 5.535 5.535 5.535
angles: 90.00 90.00 90.00
Space group Pm-3m (No. 221)
Symmetry-distinct sites (fractional):
1 Zr 0.000 0.000 0.000 (multiplicity 1)
2 Hg 0.500 0.500 0.500 (multiplicity 1)
3 Br 0.000 0.500 0.500 (multiplicity 3)

---

No. 18
VASP calculation (PBE) on crystalline NaHg2PF at its relaxed geometry.

Values from the calculation:
Spin magnetization (μB/cell): 0.0
Energy relative to the elements, uncorrected (kJ/mol of atoms): -16
Raw total energy (eV per cell): -10.04
D(E_F) (states/eV/atom): 0.64

abc: 5.573 5.573 3.898
angles: 90.00 90.00 90.00
Space group P4/mmm (No. 123)
Symmetry-distinct sites (fractional):
1 Na 0.000 0.000 0.000 (multiplicity 1)
2 Hg 0.000 0.500 0.000 (multiplicity 2)
3 P 0.500 0.500 0.500 (multiplicity 1)
4 F 0.000 0.000 0.500 (multiplicity 1)

---

No. 19
VASP calculation (PBE) on crystalline RbYIr3 at its relaxed geometry.

Values from the calculation:
Formation energy (meV/atom): 2217
Spin magnetization (μB/cell): 0.8
Raw total energy (eV per cell): -22.93
D(E_F) (states/eV/atom): 1.06
Polymorph energy (0 for the lowest one) (eV per formula unit): 2.97

abc: 4.863 4.863 4.863
angles: 90.00 90.00 90.00
Space group Pm-3m (No. 221)
Symmetry-distinct sites (fractional):
1 Rb 0.000 0.000 0.000 (multiplicity 1)
2 Y 0.500 0.500 0.500 (multiplicity 1)
3 Ir 0.000 0.000 0.500 (multiplicity 3)

---

No. 20
VASP calculation (PBE) on crystalline TeP2 at its relaxed geometry.

Values from the calculation:
Spin magnetization (μB/cell): 0.0
Energy relative to the elements, uncorrected (kJ/mol of atoms): 44
Raw total energy (eV per cell): -12.60
D(E_F) (states/eV/atom): 0.70

abc: 3.161 3.161 8.100
angles: 90.00 90.00 90.00
Space group P4/mmm (No. 123)
Symmetry-distinct sites (fractional):
1 Te 0.000 0.000 0.000 (multiplicity 1)
2 P 0.000 0.500 0.500 (multiplicity 2)